# 1
The following is a PBE-GGA calculation of a relaxed NaGa2Au crystal, from the Alexandria database.

a = 4.4666 Å, b = 4.4666 Å, c = 5.6809 Å
α = 66.85°, β = 66.85°, γ = 60.00°
With the nearest neighbours (Å) after each atom.
Positions (direct):
Na  0.4903  0.4903  0.5292  1 Au 2.90, 7 Ga 3.09-3.22
Ga  0.0452  0.0452  0.8645  3 Au 2.62
Ga  0.2835  0.2835  0.1495  3 Au 2.76, 3 Ga 2.95
Au  0.6811  0.6811  0.9568  6 Ga 2.62-2.76, 1 Na 2.90

Computed properties:
total magnetization	0.00	μB/cell
ΔE_f	-5.19	kcal/mol of atoms


# 2
The following is a PBE-GGA calculation of a relaxed Y2TeBr crystal, from the Alexandria database.

a = 3.9665 Å, b = 6.4593 Å, c = 4.5785 Å
α = 90.00°, β = 90.00°, γ = 90.00°
With the nearest neighbours (Å) after each atom.
Positions (direct):
Y  0.0000  0.0000  0.0000  4 Br 3.03
Y  0.5000  0.5000  0.0000  4 Te 3.03
Te  0.0000  0.5000  0.5000  4 Y 3.03
Br  0.5000  0.0000  0.5000  4 Y 3.03

Computed properties:
uncorrected formation energy	-0.9088	eV/atom
polymorph energy (0 for the lowest one)	261	meV/atom
total magnetization	0.00	μB/cell


# 3
The following is a PBE-GGA calculation of a relaxed Zr2TlN crystal, from the Alexandria database.

a = 3.3225 Å, b = 3.3225 Å, c = 7.7913 Å
α = 77.69°, β = 77.69°, γ = 60.00°
With the nearest neighbours (Å) after each atom.
Positions (direct):
Zr  0.0551  0.0551  0.8348  3 N 2.28
Zr  0.2782  0.2782  0.1655  3 N 2.30
Tl  0.4996  0.4996  0.5012  6 Zr 3.17-3.18, 6 Tl 3.32
N  0.6672  0.6672  0.9985  6 Zr 2.28-2.30

Computed properties:
uncorrected formation energy	-0.9521	eV/atom
total magnetization	0.00	μB/cell


# 4
The following is a PBE-GGA calculation of a relaxed Be3PbSe crystal, from the Alexandria database.

a = 4.4564 Å, b = 4.4564 Å, c = 4.4564 Å
α = 90.00°, β = 90.00°, γ = 90.00°
With the nearest neighbours (Å) after each atom.
Positions (direct):
Pb  0.5000  0.5000  0.5000  12 Be 3.15
Be  0.0000  0.5000  0.0000  2 Se 2.23
Be  0.0000  0.0000  0.5000  2 Se 2.23
Be  0.5000  0.0000  0.0000  2 Se 2.23
Se  0.0000  0.0000  0.0000  6 Be 2.23

Computed properties:
uncorrected formation energy	0.8498	eV/atom
polymorph energy (0 for the lowest one)	0	meV/atom
total magnetization	0.00	μB/cell


# 5
The following is a PBE-GGA calculation of a relaxed Cs2LaSnBr6 crystal, from the Alexandria database.

a = 8.2521 Å, b = 8.5757 Å, c = 13.0670 Å
α = 90.00°, β = 90.00°, γ = 90.00°
With the nearest neighbours (Å) after each atom.
Positions (direct):
Cs  0.5000  0.7533  0.2562  5 Br 3.63-4.07
Cs  0.0000  0.2467  0.7562  5 Br 3.63-4.07
Cs  0.5000  0.7533  0.7438  5 Br 3.63-4.07
Cs  0.0000  0.2467  0.2438  5 Br 3.63-4.07
La  0.0000  0.8388  0.5000  6 Br 2.91-2.96
La  0.5000  0.1612  0.0000  6 Br 2.91-2.96
Sn  0.5000  0.3364  0.5000  4 Br 2.98-3.03
Sn  0.0000  0.6636  0.0000  4 Br 2.98-3.03
Br  0.5000  0.1738  0.2227  1 La 2.91
Br  0.5000  0.1738  0.7773  1 La 2.91
Br  0.0000  0.8262  0.2773  1 La 2.91
Br  0.0000  0.8262  0.7227  1 La 2.91
Br  0.2349  0.1000  0.5000  1 La 2.96, 1 Sn 2.98
Br  0.7651  0.1000  0.5000  1 La 2.96, 1 Sn 2.98
Br  0.2623  0.6056  0.5000  1 La 2.95, 1 Sn 3.03
Br  0.7377  0.6056  0.5000  1 La 2.95, 1 Sn 3.03
Br  0.7623  0.3945  0.0000  1 La 2.95, 1 Sn 3.03
Br  0.2377  0.3945  0.0000  1 La 2.95, 1 Sn 3.03
Br  0.2651  0.9000  0.0000  1 La 2.96, 1 Sn 2.98
Br  0.7349  0.9000  0.0000  1 La 2.96, 1 Sn 2.98

Computed properties:
uncorrected formation energy	-1.5086	eV/atom
polymorph energy (0 for the lowest one)	0	meV/atom
total magnetization	2.00	μB/cell


# 6
The following is a PBE-GGA calculation of a relaxed LaHgGeBi crystal, from the Alexandria database.

a = 5.3727 Å, b = 5.3727 Å, c = 5.3727 Å
α = 60.00°, β = 60.00°, γ = 60.00°
With the nearest neighbours (Å) after each atom.
Positions (direct):
Ge  0.0000  0.0000  0.0000  4 Bi 3.29, 4 La 3.29
La  0.7500  0.7500  0.7500  4 Hg 3.29, 4 Ge 3.29
Bi  0.2500  0.2500  0.2500  4 Hg 3.29, 4 Ge 3.29
Hg  0.5000  0.5000  0.5000  4 La 3.29, 4 Bi 3.29

Computed properties:
total magnetization	0.00	μB/cell
ΔE_f	-7.55	kcal/mol of atoms


# 7
The following is a PBE-GGA calculation of a relaxed K2CaCI crystal, from the Alexandria database.

a = 5.9786 Å, b = 4.8110 Å, c = 5.9786 Å
α = 90.00°, β = 90.00°, γ = 90.00°
With the nearest neighbours (Å) after each atom.
Positions (direct):
I  0.5000  0.5000  0.5000  8 K 3.84, 4 Ca 4.23
C  0.0000  0.0000  0.0000  2 Ca 2.41
Ca  0.0000  0.5000  0.0000  2 C 2.41
K  0.0000  0.0000  0.5000  2 C 2.99
K  0.5000  0.0000  0.0000  2 C 2.99

Computed properties:
uncorrected formation energy	0.1232	eV/atom
total magnetization	1.00	μB/cell


# 8
The following is a PBE-GGA calculation of a relaxed Dy2ScFe9 crystal, from the Alexandria database.

a = 5.0181 Å, b = 5.0181 Å, c = 8.5682 Å
α = 72.97°, β = 72.97°, γ = 60.00°
With the nearest neighbours (Å) after each atom.
Positions (direct):
Dy  0.8591  0.8591  0.4227  12 Fe 2.90-3.07, 3 Dy 3.15
Dy  0.1409  0.1409  0.5773  12 Fe 2.90-3.07, 3 Dy 3.15
Sc  0.0000  0.0000  0.0000  18 Fe 2.90-3.18
Fe  0.6670  0.6670  0.9989  6 Fe 2.42-2.43
Fe  0.3330  0.3330  0.0011  6 Fe 2.42-2.43
Fe  0.5000  0.5000  0.5000  6 Fe 2.54
Fe  0.4194  0.4194  0.2415  7 Fe 2.42-2.54
Fe  0.9198  0.4194  0.2415  7 Fe 2.42-2.54
Fe  0.4194  0.9198  0.2415  7 Fe 2.42-2.54
Fe  0.5806  0.5806  0.7585  7 Fe 2.42-2.54
Fe  0.5806  0.0802  0.7585  7 Fe 2.42-2.54
Fe  0.0802  0.5806  0.7585  7 Fe 2.42-2.54

Computed properties:
total magnetization	16.49	μB/cell
ΔE_f	-1.60	kcal/mol of atoms